1.
Here is a geometry-optimized BaTeSe2 structure from Alexandria via LeMat-Bulk. Energies are from GGA-PBE.

abc: 4.8200 4.8200 6.6824
angles: 103.92 103.92 64.61
Closest atoms and distances in Å follow each position.
Fractional positions:
Ba (0.0000, 0.0000, 0.0000)  6 Se 3.25-3.34
Te (0.5000, 0.5000, 0.5000)  2 Se 2.71
Se (0.2795, 0.2795, 0.7360)  1 Te 2.71
Se (0.7205, 0.7205, 0.2640)  1 Te 2.71

Properties
Mass density in g cm⁻³: 5.22
Total DFT energy (no corrections) in eV/atom: -3.866
Symmetry: C2/m, No. 12

---

2.
Here is a geometry-optimized Ba2TeSe structure from Alexandria via LeMat-Bulk. Energies are from GGA-PBE.

abc: 5.7859 5.7859 5.7859
angles: 60.00 60.00 60.00
Closest atoms and distances in Å follow each position.
Fractional positions:
Ba (0.0000, 0.0000, 0.0000)  4 Ba 3.54, 4 Te 3.54
Ba (0.2500, 0.2500, 0.2500)  4 Ba 3.54, 4 Se 3.54
Te (0.7500, 0.7500, 0.7500)  4 Ba 3.54, 4 Se 3.54
Se (0.5000, 0.5000, 0.5000)  4 Ba 3.54, 4 Te 3.54

Properties
Energy above the lowest structure with this stoichiometry in meV/atom: 934.1
Mass density in g cm⁻³: 5.83
Total DFT energy (no corrections) in eV/atom: -3.594
Symmetry: F-43m, No. 216

---

3.
Here is a geometry-optimized BaTeSe2 structure from Alexandria via LeMat-Bulk. Energies are from GGA-PBE.

abc: 5.8950 5.8950 5.8950
angles: 136.25 118.52 78.47
Closest atoms and distances in Å follow each position.
Fractional positions:
Ba (0.0000, 0.0000, 0.0000)  8 Se 3.52, 4 Te 3.73
Te (0.5000, 0.5000, 0.0000)  4 Se 2.85
Se (0.3016, 0.8016, 0.5000)  2 Te 2.85
Se (0.6984, 0.1984, 0.5000)  2 Te 2.85

Properties
Mass density in g cm⁻³: 5.81
Total DFT energy (no corrections) in eV/atom: -3.967
Symmetry: Immm, No. 71

---

4.
Here is a geometry-optimized BaTeSe2 structure from Alexandria via LeMat-Bulk. Energies are from GGA-PBE.

abc: 9.6277 9.6277 9.6277
angles: 143.11 143.11 53.16
Closest atoms and distances in Å follow each position.
Fractional positions:
Ba (0.0000, 0.0000, 0.0000)  4 Se 3.27
Ba (0.7500, 0.2500, 0.5000)  4 Se 3.27
Te (0.2500, 0.7500, 0.5000)  4 Se 2.86
Te (0.5000, 0.5000, 0.0000)  4 Se 2.86
Se (0.1930, 0.6250, 0.0680)  2 Te 2.86
Se (0.3750, 0.4430, 0.5680)  2 Te 2.86
Se (0.5570, 0.1250, 0.9320)  2 Te 2.86
Se (0.8750, 0.8070, 0.4320)  2 Te 2.86

Properties
Mass density in g cm⁻³: 4.39
Total DFT energy (no corrections) in eV/atom: -3.759
Symmetry: I-42d, No. 122

---

5.
Here is a geometry-optimized BaTeSe2 structure from Alexandria via LeMat-Bulk. Energies are from GGA-PBE.

abc: 8.9683 8.1903 10.0693
angles: 90.00 121.94 90.00
Closest atoms and distances in Å follow each position.
Fractional positions:
Ba (0.2380, 0.1522, 0.4702)  6 Se 3.26-3.38
Ba (0.2380, 0.3478, 0.9702)  6 Se 3.26-3.38
Ba (0.7620, 0.6522, 0.0298)  6 Se 3.26-3.38
Ba (0.7620, 0.8478, 0.5298)  6 Se 3.26-3.38
Te (0.3061, 0.6387, 0.5327)  2 Se 2.58-2.66
Te (0.3061, 0.8613, 0.0327)  2 Se 2.58-2.66
Te (0.6939, 0.1387, 0.9673)  2 Se 2.58-2.66
Te (0.6939, 0.3613, 0.4673)  2 Se 2.58-2.66
Se (0.0215, 0.6904, 0.8814)  1 Te 2.58
Se (0.0215, 0.8096, 0.3814)  1 Te 2.58
Se (0.4688, 0.1264, 0.2936)  1 Te 2.66
Se (0.4688, 0.3736, 0.7936)  1 Te 2.66
Se (0.5312, 0.6264, 0.2064)  1 Te 2.66
Se (0.5312, 0.8736, 0.7064)  1 Te 2.66
Se (0.9785, 0.1904, 0.6186)  1 Te 2.58
Se (0.9785, 0.3096, 0.1186)  1 Te 2.58

Properties
Mass density in g cm⁻³: 4.47
Total DFT energy (no corrections) in eV/atom: -3.989
Symmetry: P2_1/c, No. 14

---

6.
Here is a geometry-optimized BaTeSe2 structure from Alexandria via LeMat-Bulk. Energies are from GGA-PBE.

abc: 4.5048 4.5048 6.4671
angles: 90.00 90.00 90.00
Closest atoms and distances in Å follow each position.
Fractional positions:
Ba (0.0000, 0.0000, 0.0000)  6 Se 3.19-3.24
Te (0.5000, 0.5000, 0.5005)  6 Se 3.19-3.24
Se (0.0000, 0.0000, 0.5003)  4 Te 3.19, 2 Ba 3.23-3.24
Se (0.5000, 0.5000, 0.0016)  4 Ba 3.19, 2 Te 3.23-3.24

Properties
Mass density in g cm⁻³: 5.35
Total DFT energy (no corrections) in eV/atom: -3.917
Symmetry: P4mm, No. 99

---

7.
Here is a geometry-optimized BaTeSe2 structure from Alexandria via LeMat-Bulk. Energies are from GGA-PBE.

abc: 5.2903 5.2903 4.0506
angles: 90.00 90.00 90.00
Closest atoms and distances in Å follow each position.
Fractional positions:
Ba (0.0000, 0.0000, 0.0000)  8 Se 3.33
Te (0.5000, 0.5000, 0.0000)  8 Se 3.33
Se (0.0000, 0.5000, 0.5000)  4 Ba 3.33, 4 Te 3.33
Se (0.5000, 0.0000, 0.5000)  4 Ba 3.33, 4 Te 3.33

Properties
Mass density in g cm⁻³: 6.19
Total DFT energy (no corrections) in eV/atom: -3.800
Symmetry: P4/mmm, No. 123

---

8.
Here is a geometry-optimized BaTeSe2 structure from Alexandria via LeMat-Bulk. Energies are from GGA-PBE.

abc: 4.3863 4.3863 8.0569
angles: 90.00 90.00 118.41
Closest atoms and distances in Å follow each position.
Fractional positions:
Ba (0.0000, 0.0000, 0.0000)  4 Se 3.13
Te (0.0000, 0.0000, 0.5000)  4 Se 2.91
Se (0.5000, 0.5000, 0.2699)  2 Te 2.91, 2 Ba 3.13
Se (0.5000, 0.5000, 0.7301)  2 Te 2.91, 2 Ba 3.13

Properties
Mass density in g cm⁻³: 5.15
Total DFT energy (no corrections) in eV/atom: -3.645
Symmetry: Cmmm, No. 65

---

9.
Here is a geometry-optimized Ba2TeSe5 structure from Alexandria via LeMat-Bulk. Energies are from GGA-PBE.

abc: 6.9659 6.9659 7.7215
angles: 123.61 123.61 65.75
Closest atoms and distances in Å follow each position.
Fractional positions:
Ba (0.0000, 0.0000, 0.0000)  8 Se 3.47-3.50
Ba (0.5002, 0.5002, 0.4836)  9 Se 3.46-3.62
Te (0.1792, 0.1792, 0.7177)  2 Se 2.63
Se (0.0067, 0.5053, 0.5014)  1 Se 2.47
Se (0.5053, 0.0067, 0.5014)  1 Se 2.47
Se (0.5060, 0.9891, 0.9999)  1 Te 2.63
Se (0.6787, 0.6787, 0.2397)  2 Se 2.47
Se (0.9891, 0.5060, 0.9999)  1 Te 2.63

Properties
Mass density in g cm⁻³: 5.15
Total DFT energy (no corrections) in eV/atom: -4.090
Symmetry: Cm, No. 8

---

10.
Here is a geometry-optimized BaTeSe3 structure from Alexandria via LeMat-Bulk. Energies are from GGA-PBE.

abc: 6.0356 6.0356 6.0356
angles: 90.00 90.00 90.00
Closest atoms and distances in Å follow each position.
Fractional positions:
Ba (0.0000, 0.0000, 0.0000)  6 Se 3.02
Te (0.5000, 0.5000, 0.5000)  12 Se 4.27
Se (0.0000, 0.0000, 0.5000)  2 Ba 3.02
Se (0.0000, 0.5000, 0.0000)  2 Ba 3.02
Se (0.5000, 0.0000, 0.0000)  2 Ba 3.02

Properties
Mass density in g cm⁻³: 3.79
Total DFT energy (no corrections) in eV/atom: -2.565
Symmetry: Pm-3m, No. 221

---

11.
Here is a geometry-optimized Ba6Te5Se structure from Alexandria via LeMat-Bulk. Energies are from GGA-PBE.

abc: 8.6007 8.6007 8.5940
angles: 99.60 99.60 120.00
Closest atoms and distances in Å follow each position.
Fractional positions:
Ba (0.0817, 0.4057, 0.7450)  1 Se 3.42, 5 Te 3.50-3.58
Ba (0.2419, 0.2419, 0.2550)  1 Se 3.42, 5 Te 3.52-3.60
Ba (0.4057, 0.0817, 0.7450)  1 Se 3.42, 5 Te 3.50-3.58
Ba (0.5943, 0.9183, 0.2550)  1 Se 3.42, 5 Te 3.50-3.58
Ba (0.7581, 0.7581, 0.7450)  1 Se 3.42, 5 Te 3.52-3.60
Ba (0.9183, 0.5943, 0.2550)  1 Se 3.42, 5 Te 3.50-3.58
Te (0.1688, 0.8312, 0.0000)  6 Ba 3.50-3.58
Te (0.3336, 0.6664, 0.5000)  6 Ba 3.52
Te (0.5000, 0.5000, 0.0000)  6 Ba 3.50-3.60
Te (0.6664, 0.3336, 0.5000)  6 Ba 3.52
Te (0.8312, 0.1688, 0.0000)  6 Ba 3.50-3.58
Se (0.0000, 0.0000, 0.5000)  6 Ba 3.42

Properties
Mass density in g cm⁻³: 4.93
Total DFT energy (no corrections) in eV/atom: -4.387
Symmetry: C2/m, No. 12

---

12.
Here is a geometry-optimized Ba5TeSe4 structure from Alexandria via LeMat-Bulk. Energies are from GGA-PBE.

abc: 12.6671 12.6671 12.6671
angles: 158.27 148.95 38.22
Closest atoms and distances in Å follow each position.
Fractional positions:
Ba (0.0000, 0.0000, 0.0000)  2 Te 3.39, 4 Se 3.40
Ba (0.1989, 0.1989, 0.0000)  6 Se 3.34-3.39
Ba (0.3936, 0.3936, 0.0000)  4 Se 3.32-3.39, 2 Te 3.49
Ba (0.6064, 0.6064, 0.0000)  4 Se 3.32-3.39, 2 Te 3.49
Ba (0.8011, 0.8011, 0.0000)  6 Se 3.34-3.39
Te (0.5000, 0.0000, 0.5000)  6 Ba 3.39-3.49
Se (0.1010, 0.6010, 0.5000)  6 Ba 3.34-3.40
Se (0.2973, 0.7973, 0.5000)  6 Ba 3.32-3.39
Se (0.7027, 0.2027, 0.5000)  6 Ba 3.32-3.39
Se (0.8990, 0.3990, 0.5000)  6 Ba 3.34-3.40

Properties
Mass density in g cm⁻³: 4.84
Total DFT energy (no corrections) in eV/atom: -4.656
Symmetry: Immm, No. 71